(1)
PBE Pr12Si5Se28, optimized geometry; uncorrected formation energy = -1.410 eV per atom; VASP energy = -5.455 eV per atom; excess energy over the best structure of this formula in the dataset = 0 meV/atom; SG = P1 (1)
1.0
10.6761 -0.0007 -0.0014
0.0005 12.2207 0.0048
-5.3382 -6.0999 9.2422
Se Si Pr
28 5 12
Direct
0.5808 0.9757 0.4730 Se
0.4824 0.9415 0.8996 Se
0.0845 0.9515 0.2252 Se
0.6740 0.1554 0.3469 Se
0.7377 0.2804 0.8280 Se
0.4300 0.7550 0.5346 Se
0.0983 0.2740 0.5710 Se
0.4780 0.4301 0.8888 Se
0.3323 0.0610 0.6649 Se
0.1696 0.3205 0.9064 Se
0.8373 0.1619 0.0951 Se
0.1163 0.7906 0.6049 Se
0.8921 0.9439 0.4114 Se
0.8949 0.4532 0.4197 Se
0.0956 0.5028 0.2671 Se
0.3975 0.2422 0.5074 Se
0.3363 0.5642 0.6706 Se
0.1382 0.7977 0.9138 Se
0.8464 0.6605 0.0824 Se
0.2375 0.6959 0.1534 Se
0.5848 0.4821 0.4801 Se
0.7715 0.7701 0.8581 Se
0.5249 0.2963 0.1097 Se
0.9079 0.9851 0.7418 Se
0.6582 0.6402 0.3184 Se
0.2580 0.1969 0.1653 Se
0.5198 0.7918 0.1015 Se
0.9151 0.5013 0.7624 Se
0.9980 0.7286 0.9995 Si
0.3415 0.7522 0.6752 Si
0.6687 0.3364 0.3364 Si
0.6637 0.8309 0.3291 Si
0.3265 0.2440 0.6605 Si
0.1318 0.7950 0.3669 Pr
0.7779 0.4279 0.1219 Pr
0.3470 0.4801 0.2233 Pr
0.6528 0.0237 0.7798 Pr
0.2304 0.5473 0.8673 Pr
0.1265 0.3112 0.3504 Pr
0.2268 0.0729 0.8770 Pr
0.8615 0.6986 0.6334 Pr
0.3640 0.9928 0.2273 Pr
0.7703 0.9482 0.1362 Pr
0.8783 0.1907 0.6529 Pr
0.6344 0.4927 0.7611 Pr

(2)
PBE Sc2CuNi9, optimized geometry; DOS(E_F) = 12.67 states/eV/f.u.; E_form = -238.5 meV/atom; VASP energy = -5.971 eV per atom; excess energy over the best structure of this formula in the dataset = 0 meV/atom; SG = P4/mmm (123)
1.0
-1.3795 1.7809 -2.8883
-2.0881 -2.9032 -0.7927
-7.9875 4.0255 6.2971
Sc Ni Cu
2 9 1
Direct
0.0000 0.0000 0.3282 Sc
0.0000 0.0000 0.6718 Sc
0.5000 0.5000 0.3289 Ni
0.5000 0.5000 0.6711 Ni
0.0000 0.5000 0.8451 Ni
0.0000 0.5000 0.1549 Ni
0.5000 0.0000 0.5000 Ni
0.5000 0.0000 0.1549 Ni
0.5000 0.5000 0.0000 Ni
0.0000 0.5000 0.5000 Ni
0.5000 0.0000 0.8451 Ni
0.0000 0.0000 0.0000 Cu

(3)
PBE Li2HfCr, optimized geometry; DOS(E_F) = 2.06 states/eV/f.u.; E_form = 726.1 meV/atom; VASP energy = -5.125 eV per atom; excess energy over the best structure of this formula in the dataset = 0 meV/atom; SG = I-42d (122)
1.0
-7.0617 -0.4379 -1.6319
-0.6059 -5.8902 4.2025
-4.3812 -1.6984 3.2606
Li Hf Cr
4 2 2
Direct
0.3750 0.4032 0.7500 Li
0.1532 0.6250 0.2500 Li
0.5968 0.1250 0.2500 Li
0.8750 0.8468 0.7500 Li
0.0000 0.0000 0.0000 Hf
0.7500 0.2500 0.5000 Hf
0.2500 0.7500 0.5000 Cr
0.5000 0.5000 0.0000 Cr

(4)
PBE CdCo2NiCl, optimized geometry; uncorrected formation energy = 0.595 eV per atom; DOS(E_F) = 5.69 states/eV/f.u.; VASP energy = -3.956 eV per atom; SG = P4/mmm (123)
1.0
4.1451 0.0000 0.0000
0.0000 4.2103 0.0000
0.0000 0.0000 4.1451
Ni Co Cl Cd
1 2 1 1
Direct
0.0000 0.5000 0.0000 Ni
0.0000 0.0000 0.5000 Co
0.5000 0.0000 0.0000 Co
0.0000 0.0000 0.0000 Cl
0.5000 0.5000 0.5000 Cd

(5)
PBE MnSi2BiSb, optimized geometry; uncorrected formation energy = 2.122 eV per atom; DOS(E_F) = 8.29 states/eV/f.u.; VASP energy = -3.482 eV per atom; SG = P4/mmm (123)
1.0
5.3142 0.0000 0.0000
0.0000 5.7726 0.0000
0.0000 0.0000 5.3142
Mn Si Sb Bi
1 2 1 1
Direct
0.5000 0.5000 0.5000 Mn
0.0000 0.0000 0.5000 Si
0.5000 0.0000 0.0000 Si
0.0000 0.5000 0.0000 Sb
0.0000 0.0000 0.0000 Bi

(6)
PBE RbTaHg3, optimized geometry; DOS(E_F) = 4.47 states/eV/f.u.; E_form = 426.9 meV/atom; VASP energy = -2.318 eV per atom; excess energy over the best structure of this formula in the dataset = 0 meV/atom; SG = Pm-3m (221)
1.0
-1.5152 -5.2169 1.1800
0.8845 -1.4539 -5.2923
5.2751 -1.2547 1.2264
Hg Rb Ta
3 1 1
Direct
0.5000 0.0000 0.0000 Hg
0.0000 0.0000 0.5000 Hg
0.0000 0.5000 0.0000 Hg
0.5000 0.5000 0.5000 Rb
0.0000 0.0000 0.0000 Ta

(7)
PBE Ac4Pm3Y4, optimized geometry; DOS(E_F) = 17.32 states/eV/f.u.; E_form = 55.4 meV/atom; VASP energy = -5.085 eV per atom; SG = Cm (8)
1.0
3.7141 0.0032 -0.0234
-0.0104 5.7564 -0.8662
0.1148 -0.0478 19.2079
Ac Y Pm
4 4 3
Direct
0.7282 0.0898 0.1798 Ac
0.7285 0.7208 0.4416 Ac
0.2261 0.2784 0.5562 Ac
0.2260 0.9071 0.8144 Ac
0.7272 0.4620 0.9233 Y
0.2288 0.1793 0.3586 Y
0.2274 0.5426 0.0858 Y
0.7257 0.8199 0.6395 Y
0.7257 0.3659 0.7318 Pm
0.2273 0.0007 0.0014 Pm
0.2290 0.6337 0.2675 Pm

(8)
PBE Sr2NbN, optimized geometry; uncorrected formation energy = -0.044 eV per atom; DOS(E_F) = 4.10 states/eV/f.u.; VASP energy = -5.484 eV per atom; SG = I-42d (122)
1.0
-1.0135 -2.2251 -10.3933
3.6890 -9.8650 1.7523
-0.5830 -6.7049 -3.9919
Nb N Sr
2 2 4
Direct
0.7500 0.2500 0.5000 Nb
0.0000 0.0000 0.0000 Nb
0.5000 0.5000 0.0000 N
0.2500 0.7500 0.5000 N
0.2994 0.6250 0.2500 Sr
0.8750 0.7006 0.7500 Sr
0.4506 0.1250 0.2500 Sr
0.3750 0.5494 0.7500 Sr

(9)
PBE MgCdHg2, optimized geometry; DOS(E_F) = 1.28 states/eV/f.u.; E_form = -79.8 meV/atom; VASP energy = -0.858 eV per atom; SG = R-3m (166)
1.0
-6.4088 -4.8264 -4.2864
-6.2369 -6.5071 -1.2239
-8.1994 -3.6283 -1.5311
Cd Hg Mg
1 2 1
Direct
0.7500 0.7500 0.7500 Cd
0.5030 0.5030 0.5030 Hg
0.9970 0.9970 0.9970 Hg
0.2500 0.2500 0.2500 Mg

(10)
PBE EuPuMgSn, optimized geometry; DOS(E_F) = 20.83 states/eV/f.u.; E_form = -209.0 meV/atom; VASP energy = -7.760 eV per atom; SG = F-43m (216)
1.0
5.4558 0.0000 0.0000
2.7279 4.7249 0.0000
2.7279 1.5750 4.4546
Pu Sn Eu Mg
1 1 1 1
Direct
0.7500 0.7500 0.7500 Pu
0.0000 0.0000 0.0000 Sn
0.2500 0.2500 0.2500 Eu
0.5000 0.5000 0.5000 Mg

(11)
PBE NdY7Mg4, optimized geometry; DOS(E_F) = 17.78 states/eV/f.u.; E_form = 146.7 meV/atom; VASP energy = -4.553 eV per atom; SG = C2/m (12)
1.0
-0.7348 0.3322 -5.7101
7.9758 -1.7744 -4.0416
-0.0365 -7.3786 -3.3365
Mg Y Nd
4 7 1
Direct
0.5415 0.3009 0.6161 Mg
0.6757 0.6556 0.9930 Mg
0.4585 0.6991 0.3839 Mg
0.3243 0.3444 0.0070 Mg
0.2540 0.7052 0.7868 Y
0.7952 0.8786 0.5311 Y
0.7460 0.2948 0.2132 Y
0.5000 0.0000 0.0000 Y
0.0784 0.5762 0.2670 Y
0.9216 0.4238 0.7330 Y
0.2048 0.1214 0.4689 Y
0.0000 0.0000 0.0000 Nd

(12)
PBE SrGe4Pb, optimized geometry; DOS(E_F) = 1.52 states/eV/f.u.; E_form = -119.6 meV/atom; VASP energy = -4.096 eV per atom; SG = F-43m (216)
1.0
-2.0384 1.2040 5.3600
1.6545 -3.2759 4.5679
3.5822 2.2345 4.0632
Pb Ge Sr
1 4 1
Direct
0.2500 0.2500 0.2500 Pb
0.6241 0.1276 0.6241 Ge
0.6241 0.6241 0.6241 Ge
0.6241 0.6241 0.1276 Ge
0.1276 0.6241 0.6241 Ge
0.0000 0.0000 0.0000 Sr